# PBE+U ErHgMo2O8, optimized geometry
# Total DFT energy (no corrections) in eV/atom: -6.71
# Spin magnetization in μB/f.u.: 1.00
data_ErHgMo2O8
_symmetry_space_group_name_H-M 'P -3 m 1'
_symmetry_Int_Tables_number 164
_symmetry_space_group_name_Hall '-P 3 2"'
_cell_length_a 6.0853
_cell_length_b 6.0853
_cell_length_c 7.0772
_cell_angle_alpha 90.00
_cell_angle_beta 90.00
_cell_angle_gamma 120.00
loop_
_atom_site_label
_atom_site_fract_x
_atom_site_fract_y
_atom_site_fract_z
Er1 0.0000 0.0000 0.0000
Hg1 0.0000 0.0000 0.5000
Mo1 0.3333 0.6667 0.7279
O1 0.1697 0.3395 0.8104
O2 0.3333 0.6667 0.4823